# Pr2Sc2CI2BrCl2 PBE optimized geometry
# DFT total energy, eV per formula unit: -53.6
# Crystal system: monoclinic
data_Pr2Sc2CI2BrCl2
_chemical_formula_sum 'Pr4 Sc4 C2 I4 Br2 Cl4'
_cell_length_a 18.281
_cell_length_b 3.838
_cell_length_c 8.596
_cell_angle_alpha 90.00
_cell_angle_beta 101.47
_cell_angle_gamma 90.00
_space_group_name_H-M_alt 'C 1 2/m 1'
_space_group_IT_number 12
loop_
_space_group_symop_operation_xyz
'x,y,z'
'-x,-y,-z'
'-x,y,-z'
'x,-y,z'
'x+1/2,y+1/2,z'
'-x+1/2,-y+1/2,-z'
'-x+1/2,y+1/2,-z'
'x+1/2,-y+1/2,z'
loop_
_atom_site_label
_atom_site_fract_x
_atom_site_fract_y
_atom_site_fract_z
_atom_site_occupancy
Pr1 0.003 0.000 0.295 1
Sc1 0.126 0.500 0.556 1
C1 0.000 0.500 0.500 1
I1 0.174 0.000 0.815 1
Br1 0.000 0.500 0.000 1
Cl1 0.165 0.000 0.378 1